# 1
This record from Alexandria via LeMat-Bulk describes an optimized crystal structure of TaCdI2O. The functional is GGA-PBE.

## Properties
Total moment (μB/cell): 2.69
DOS at the Fermi energy (states/eV per atom): 1.03
DFT total energy (eV/atom): -3.4211

Lattice parameters (Å, degrees): 5.8612 5.8612 3.9442 90.00 90.00 90.00
Fractional positions:
I  0.0000  0.5000  0.0000
I  0.5000  0.0000  0.0000
Cd  0.0000  0.0000  0.0000
O  0.0000  0.0000  0.5000
Ta  0.5000  0.5000  0.5000


# 2
This record from Alexandria via LeMat-Bulk describes an optimized crystal structure of K2HPdS2. The functional is GGA-PBE.

## Properties
Total moment (μB/cell): 0.22
DOS at the Fermi energy (states/eV per atom): 0.37
DFT total energy (eV/atom): -3.4969

Lattice parameters (Å, degrees): 6.1122 9.5323 8.1131 125.98 112.13 90.00
Fractional positions:
K  0.6164  0.9538  0.2329
K  0.1164  0.2790  0.2329
K  0.8836  0.7210  0.7671
K  0.3836  0.0462  0.7671
H  0.2500  0.0000  0.0000
H  0.7500  0.0000  0.0000
Pd  0.7500  0.5000  0.0000
Pd  0.2500  0.5000  0.0000
S  0.3944  0.5292  0.7888
S  0.6056  0.4708  0.2112
S  0.1056  0.7405  0.2112
S  0.8944  0.2596  0.7888


# 3
This record from Alexandria via LeMat-Bulk describes an optimized crystal structure of AsPRhAu2. The functional is GGA-PBE.

## Properties
Total moment (μB/cell): 0.00
E_form (eV/f.u.): -0.33
DOS at the Fermi energy (states/eV per atom): 0.28

Lattice parameters (Å, degrees): 3.2088 4.5393 6.4819 89.98 89.96 69.59
Fractional positions:
As  0.4694  0.6249  0.1807
P  0.7436  0.0680  0.7984
Rh  0.1857  0.1854  0.0395
Au  0.0038  0.5382  0.6621
Au  0.7202  0.1021  0.4104


# 4
This record from Alexandria via LeMat-Bulk describes an optimized crystal structure of YP2SCl. The functional is GGA-PBE.

## Properties
Total moment (μB/cell): 0.48
DOS at the Fermi energy (states/eV per atom): 1.06
DFT total energy (eV/atom): -4.1914

Lattice parameters (Å, degrees): 5.4337 5.4337 5.0987 90.00 90.00 90.00
Fractional positions:
Y  0.0000  0.0000  0.0000
P  0.0000  0.5000  0.0000
P  0.5000  0.0000  0.0000
S  0.0000  0.0000  0.5000
Cl  0.5000  0.5000  0.5000